# TaBeRe2As

A crystal of TaBeRe2As relaxed with PBEsol (meta-GGA SCAN, the Alexandria database).

The space group is P4/mmm (No. 123) and the conventional cell measures 4.336, 4.336 and 3.888 Å, with angles of 90.00, 90.00 and 90.00 degrees. The asymmetric unit holds Ta at (0.000, 0.000, 0.000), Be at (0.500, 0.500, 0.500), Re at (0.000, 0.500, 0.500) and As at (0.500, 0.500, 0.000).

The volume is 73.1 Å³ per cell. The calculation puts the magnetization at 0.0 μB per cell. For the energy of formation from the pure elements, the calculation gives 82.28 kJ/mol of atoms. The electronic total energy comes out at -229.06 eV/f.u.